A plane-wave DFT calculation with PBE was carried out for TlReTe after structural relaxation.

Structure (CIF):
```
data_TlReTe
_cell_length_a 6.594
_cell_length_b 6.594
_cell_length_c 6.594
_cell_angle_alpha 90.00
_cell_angle_beta 90.00
_cell_angle_gamma 90.00
_symmetry_space_group_name_H-M 'F -4 3 m'
_symmetry_Int_Tables_number 216
_symmetry_space_group_name_Hall 'F -4 2 3'
loop_
_atom_site_label
_atom_site_type_symbol
_atom_site_fract_x
_atom_site_fract_y
_atom_site_fract_z
_atom_site_occupancy
Tl1 Tl 0.000 0.000 0.000 1
Re1 Re 0.250 0.250 0.250 1
Te1 Te 0.000 0.000 0.500 1
```

A plane-wave DFT calculation with PBE was carried out for TlRe2Te after structural relaxation.

Structure (CIF):
```
data_TlRe2Te
_cell_length_a 3.114
_cell_length_b 5.340
_cell_length_c 9.314
_cell_angle_alpha 90.00
_cell_angle_beta 90.00
_cell_angle_gamma 90.00
_symmetry_space_group_name_H-M 'I m m m'
_symmetry_Int_Tables_number 71
_symmetry_space_group_name_Hall '-I 2 2'
loop_
_atom_site_label
_atom_site_type_symbol
_atom_site_fract_x
_atom_site_fract_y
_atom_site_fract_z
_atom_site_occupancy
Tl1 Tl 0.000 0.000 0.000 1
Re1 Re 0.000 0.500 0.228 1
Te1 Te 0.000 0.000 0.500 1
```

A plane-wave DFT calculation with PBE was carried out for TlReTe2 after structural relaxation.

Structure (CIF):
```
data_TlReTe2
_cell_length_a 3.396
_cell_length_b 5.491
_cell_length_c 10.803
_cell_angle_alpha 90.00
_cell_angle_beta 90.00
_cell_angle_gamma 90.00
_symmetry_space_group_name_H-M 'C m m m'
_symmetry_Int_Tables_number 65
_symmetry_space_group_name_Hall '-C 2 2'
loop_
_atom_site_label
_atom_site_type_symbol
_atom_site_fract_x
_atom_site_fract_y
_atom_site_fract_z
_atom_site_occupancy
Tl1 Tl 0.000 0.000 0.000 1
Re1 Re 0.000 0.000 0.500 1
Te1 Te 0.000 0.500 0.302 1
```

Computed total moment, in the same sequence as the records: 0.45; 0.00; 0.00 μB per formula unit.
Computed energy relative to the elements, uncorrected, in the same sequence as the records: 0.909; 1.262; 0.577 eV per atom.